# SmP4HO12 | Alexandria via LeMat-Bulk | GGA-PBEsol | relaxed
# - N(E_F): 0.000 states/eV per atom
# - DFT total energy: -7.59 eV per atom
# - Theoretical density: 3.30 g/cm3
# - Total moment: 0.0 μB/cell
data_SmP4HO12
_chemical_formula_sum 'Sm2 P8 H2 O24'
_cell_length_a 7.200
_cell_length_b 8.633
_cell_length_c 8.884
_cell_angle_alpha 99.60
_cell_angle_beta 112.22
_cell_angle_gamma 105.47
_space_group_name_H-M_alt 'P -1'
_space_group_IT_number 2
loop_
_space_group_symop_operation_xyz
'x,y,z'
'-x,-y,-z'
loop_
_atom_site_label
_atom_site_fract_x
_atom_site_fract_y
_atom_site_fract_z
Sm1 0.091 0.267 0.258
P1 0.066 0.375 0.653
P2 0.206 0.183 0.893
P3 0.388 0.711 0.423
P4 0.420 0.868 0.150
H1 0.495 0.135 0.265
O1 0.058 0.016 0.764
O2 0.092 0.557 0.696
O3 0.153 0.337 0.833
O4 0.163 0.310 0.546
O5 0.185 0.744 0.435
O6 0.192 0.794 0.021
O7 0.230 0.212 0.070
O8 0.328 0.537 0.316
O9 0.437 0.225 0.396
O10 0.445 0.225 0.906
O11 0.455 0.847 0.332
O12 0.461 0.942 0.809